# 1
The following is a DFT calculation (PBE) of a relaxed structure of Na2Mg3Cd6.

```
Na2Mg3Cd6
1.0
3.3657 0.0000 0.0000
0.0000 9.3467 1.2132
0.0000 2.2318 9.1571
Na Mg Cd
2 3 6
Direct
0.0000 0.3364 0.6636
0.0000 0.6636 0.3364
0.0000 0.1803 0.1803
0.0000 0.8197 0.8197
0.5000 0.0000 0.0000
0.5000 0.3469 0.3469
0.5000 0.6531 0.6531
0.5000 0.9307 0.3801
0.5000 0.0693 0.6199
0.5000 0.3801 0.9307
0.5000 0.6199 0.0693
```

Results
Space-group type: No. 65
E_form, meV per atom: -3
Total magnetization, μB per atom: 0.0000



# 2
The following is a DFT calculation (PBE) of a relaxed structure of NaMg6Cd3.

```
NaMg6Cd3
1.0
7.4331 0.0000 0.0000
0.0000 7.1678 -2.7353
0.0000 0.5674 8.7943
Na Mg Cd
2 12 6
Direct
0.5000 0.5000 0.5000
0.0000 0.0000 0.0000
0.1856 0.9143 0.6554
0.0546 0.5421 0.6764
0.3513 0.3017 0.7825
0.6487 0.6983 0.2175
0.9454 0.4579 0.3236
0.8144 0.0857 0.3446
0.3144 0.4143 0.1554
0.4454 0.0421 0.1764
0.1487 0.8017 0.2825
0.8513 0.1983 0.7175
0.5546 0.9579 0.8236
0.6856 0.5857 0.8446
0.8229 0.7928 0.5652
0.5000 0.0000 0.5000
0.1771 0.2072 0.4348
0.6771 0.2928 0.0652
0.0000 0.5000 0.0000
0.3229 0.7072 0.9348
```

Results
Space-group type: No. 14
E_form, meV per atom: -13
Total magnetization, μB per atom: 0.0000



# 3
The following is a DFT calculation (PBE) of a relaxed structure of NaMgCd4.

```
NaMgCd4
1.0
5.8711 0.0000 0.0000
2.9356 5.0845 0.0000
2.9356 1.6948 4.7938
Na Mg Cd
1 1 4
Direct
0.2500 0.2500 0.2500
0.0000 0.0000 0.0000
0.6250 0.6250 0.1251
0.6250 0.1251 0.6250
0.6250 0.6250 0.6250
0.1251 0.6250 0.6250
```

Results
Space-group type: No. 216
Polymorph energy (0 for the lowest one), meV/atom: 38
E_form, meV per atom: -41
Total magnetization, μB per atom: 0.0000